*i*
Computed, not measured: an optimized crystal structure of Hf2CrOsN at the PBE level of DFT.

Lattice parameters (Å, degrees): 4.9045 3.4857 4.9045 90.00 90.00 90.00
Positions (direct):
Hf 0.0000 0.0000 0.5000
Hf 0.5000 0.0000 0.0000
N 0.0000 0.5000 0.0000
Os 0.5000 0.5000 0.5000
Cr 0.0000 0.0000 0.0000

## Properties
- Density of states at the Fermi level: 5.75 states/eV per cell
- SG: P4/mmm

***

*ii*
Computed, not measured: an optimized crystal structure of Hf2CrOsN at the PBE level of DFT.

Lattice parameters (Å, degrees): 4.5144 4.5144 3.6085 90.00 90.00 90.00
Positions (direct):
Hf 0.0000 0.5000 0.0000
Hf 0.5000 0.0000 0.0000
N 0.0000 0.0000 0.0000
Os 0.5000 0.5000 0.5000
Cr 0.0000 0.0000 0.5000

## Properties
- Density of states at the Fermi level: 3.43 states/eV per cell
- SG: P4/mmm

***

Which one sits at the bottom of the stability order? *i* does.

***

*i*
Computed, not measured: an optimized crystal structure of HfCrTeN2 at the PBE level of DFT.

Lattice parameters (Å, degrees): 3.8745 3.8745 5.1535 90.00 90.00 90.00
Positions (direct):
Cr 0.0000 0.0000 0.0000
Te 0.0000 0.0000 0.5000
Hf 0.5000 0.5000 0.5000
N 0.0000 0.5000 0.0000
N 0.5000 0.0000 0.0000

## Properties
- Density of states at the Fermi level: 3.37 states/eV per cell
- SG: P4/mmm

***

*ii*
Computed, not measured: an optimized crystal structure of HfCrTeN2 at the PBE level of DFT.

Lattice parameters (Å, degrees): 4.1128 4.1128 5.9940 90.00 90.00 90.00
Positions (direct):
Cr 0.5000 0.5000 0.5000
Te 0.0000 0.0000 0.5000
Hf 0.0000 0.0000 0.0000
N 0.0000 0.5000 0.0000
N 0.5000 0.0000 0.0000

## Properties
- Density of states at the Fermi level: 4.02 states/eV per cell
- SG: P4/mmm

***

Which one sits at the bottom of the stability order? *i* does.

***

*i*
Computed, not measured: an optimized crystal structure of NaHfCr2 at the PBE level of DFT.

Lattice parameters (Å, degrees): 3.8416 3.8416 9.9007 78.81 78.81 90.00
Positions (direct):
Cr 0.6900 0.1250 0.2500
Cr 0.0600 0.6250 0.2500
Cr 0.3750 0.3100 0.7500
Cr 0.8750 0.9400 0.7500
Hf 0.0000 0.0000 0.0000
Hf 0.7500 0.2500 0.5000
Na 0.5000 0.5000 0.0000
Na 0.2500 0.7500 0.5000

## Properties
- Density of states at the Fermi level: 9.81 states/eV per cell
- SG: I-42d

***

*ii*
Computed, not measured: an optimized crystal structure of NaHfCr2 at the PBE level of DFT.

Lattice parameters (Å, degrees): 4.7195 4.7195 4.7195 60.00 60.00 60.00
Positions (direct):
Cr 0.2500 0.2500 0.2500
Cr 0.7500 0.7500 0.7500
Hf 0.5000 0.5000 0.5000
Na 0.0000 0.0000 0.0000

## Properties
- Density of states at the Fermi level: 3.76 states/eV per cell
- SG: Fm-3m

***

Which one sits at the bottom of the stability order? *i* does.

***

*i*
Computed, not measured: an optimized crystal structure of HfNb2Cr at the PBE level of DFT.

Lattice parameters (Å, degrees): 3.8461 3.8461 10.4917 79.44 79.44 90.00
Positions (direct):
Cr 0.5000 0.5000 0.0000
Cr 0.2500 0.7500 0.5000
Nb 0.6191 0.1250 0.2500
Nb 0.1309 0.6250 0.2500
Nb 0.3750 0.3809 0.7500
Nb 0.8750 0.8691 0.7500
Hf 0.0000 0.0000 0.0000
Hf 0.7500 0.2500 0.5000

## Properties
- Density of states at the Fermi level: 10.94 states/eV per cell
- SG: I-42d

***

*ii*
Computed, not measured: an optimized crystal structure of HfNb2Cr at the PBE level of DFT.

Lattice parameters (Å, degrees): 3.1695 3.1695 6.9784 90.00 90.00 90.00
Positions (direct):
Cr 0.5000 0.5000 0.0000
Nb 0.0000 0.0000 0.7846
Nb 0.0000 0.0000 0.2154
Hf 0.5000 0.5000 0.5000

## Properties
- Density of states at the Fermi level: 6.36 states/eV per cell
- SG: P4/mmm

***

*iii*
Computed, not measured: an optimized crystal structure of HfNb2Cr at the PBE level of DFT.

Lattice parameters (Å, degrees): 4.6069 4.6069 4.6069 60.00 60.00 60.00
Positions (direct):
Cr 0.0000 0.0000 0.0000
Nb 0.2500 0.2500 0.2500
Nb 0.7500 0.7500 0.7500
Hf 0.5000 0.5000 0.5000

## Properties
- Density of states at the Fermi level: 6.44 states/eV per cell
- SG: Fm-3m

***

Which one sits at the bottom of the stability order? *i* does.